1.
VASP calculation (PBE) on Ho2ZnSi after structural relaxation.

```
4
Lattice="4.004 0.000 -1.144 0.000 4.046 0.000 -0.528 0.000 5.729" Properties=species:S:1:pos:R:3 pbc="T T T"
Ho 2.896 2.023 2.556
Ho 0.256 0.000 0.897
Zn 1.104 0.000 3.862
Si 2.061 2.023 -0.366
```

Calculated values
- final energy (eV/f.u.) = -18.1
- space-group type = Amm2
- ΔE_f (raw) (meV per atom) = -573
- density of states at the Fermi level (states/eV/f.u.) = 3.85

2.
VASP calculation (PBE) on Ho5ZnSi2 after structural relaxation.

```
16
Lattice="6.735 0.000 -3.179 -1.501 6.566 -3.179 0.040 0.050 8.809" Properties=species:S:1:pos:R:3 pbc="T T T"
Ho 2.580 4.529 2.439
Ho 4.051 6.375 -3.168
Ho 0.000 0.000 0.000
Ho 2.617 3.283 -3.179
Ho 1.223 0.241 5.618
Ho 4.361 1.246 3.542
Ho -0.558 3.524 4.515
Ho 0.913 5.370 -1.092
Ho 5.833 3.092 -2.065
Ho 2.695 2.087 0.011
Zn 3.946 4.950 -0.365
Zn 1.329 1.667 2.815
Si 0.252 2.484 -1.590
Si 4.005 0.800 -2.364
Si 1.229 5.767 -3.995
Si 4.982 4.083 -4.769
```

Calculated values
- final energy (eV/f.u.) = -39.1
- space-group type = I4/mcm
- ΔE_f (raw) (meV per atom) = -514
- density of states at the Fermi level (states/eV/f.u.) = 6.77

3.
VASP calculation (PBE) on Ho2Zn16Si after structural relaxation.

```
19
Lattice="-1.405 6.406 -1.680 -3.337 -1.449 -5.710 -6.201 0.132 2.715" Properties=species:S:1:pos:R:3 pbc="T T T"
Ho -7.321 3.405 -3.127
Ho -3.655 1.700 -1.561
Zn -2.887 4.476 -0.332
Zn -5.324 -0.349 0.119
Zn -2.750 0.971 -4.469
Zn -4.223 -0.957 -3.119
Zn -2.007 3.990 -2.921
Zn -4.730 2.064 1.357
Zn -5.445 1.079 -4.400
Zn -4.509 4.883 -2.449
Zn -6.831 1.845 -0.321
Zn -5.504 4.012 -0.278
Zn -6.438 0.211 -2.228
Zn -4.118 3.247 -4.354
Zn -1.682 -0.683 -2.811
Zn -0.739 3.153 -0.843
Zn -3.081 0.089 1.303
Zn -1.008 0.469 -0.430
Si -9.816 4.565 -4.193
```

Calculated values
- final energy (eV/f.u.) = -38.6
- space-group type = R3m
- ΔE_f (raw) (meV per atom) = -193
- density of states at the Fermi level (states/eV/f.u.) = 7.92

4.
VASP calculation (PBE) on HoZnSi2 after structural relaxation.

```
4
Lattice="-0.541 -3.370 2.141 3.681 -1.475 -1.391 1.947 1.769 3.277" Properties=species:S:1:pos:R:3 pbc="T T T"
Zn -0.271 -1.685 1.070
Si 0.974 0.884 1.639
Si 1.840 -0.738 -0.696
Ho 2.543 -1.538 2.013
```

Calculated values
- final energy (eV/f.u.) = -17.9
- energy relative to the lowest polymorph listed for this composition (meV/atom) = 86.2
- space-group type = P4/mmm
- ΔE_f (raw) (meV per atom) = -293
- density of states at the Fermi level (states/eV/f.u.) = 1.79

5.
VASP calculation (PBE) on Ho3Zn4Si2 after structural relaxation.

```
9
Lattice="-3.152 2.599 1.054 0.810 -4.030 3.917 5.499 6.064 1.496" Properties=species:S:1:pos:R:3 pbc="T T T"
Ho 1.741 4.294 3.066
Ho 0.000 0.000 0.000
Ho 1.416 0.339 3.401
Zn -1.531 0.437 2.791
Zn 4.688 4.196 3.676
Zn 1.205 2.572 5.711
Zn 1.952 2.061 0.755
Si -0.233 2.371 1.903
Si 3.390 2.262 4.563
```

Calculated values
- final energy (eV/f.u.) = -34.6
- space-group type = C2/m
- ΔE_f (raw) (meV per atom) = -542
- density of states at the Fermi level (states/eV/f.u.) = 4.30

6.
VASP calculation (PBE) on Ho4ZnSi3 after structural relaxation.

```
8
Lattice="-3.357 -2.500 -0.483 2.333 -2.898 -1.214 1.055 -3.361 10.054" Properties=species:S:1:pos:R:3 pbc="T T T"
Ho -0.130 -3.918 2.796
Ho 2.070 -4.327 8.001
Ho 0.151 -0.482 1.442
Ho -1.003 -3.402 6.197
Zn -0.437 -2.939 -0.130
Si 1.774 -3.386 5.186
Si 0.451 -1.437 4.298
Si -0.706 -4.350 9.031
```

Calculated values
- final energy (eV/f.u.) = -41.4
- space-group type = Pmm2
- ΔE_f (raw) (meV per atom) = -697
- density of states at the Fermi level (states/eV/f.u.) = 6.23

7.
VASP calculation (PBE) on Ho2ZnSi2 after structural relaxation.

```
10
Lattice="4.189 0.000 0.000 2.095 5.279 -0.185 2.095 0.493 9.108" Properties=species:S:1:pos:R:3 pbc="T T T"
Ho 4.189 1.438 3.091
Ho 6.284 2.020 8.238
Ho 4.189 4.334 5.832
Ho 2.095 3.752 0.685
Zn 4.189 1.346 6.248
Zn 4.189 4.426 2.674
Si 2.095 2.047 5.275
Si 6.284 5.020 7.937
Si 6.284 3.725 3.647
Si 2.095 0.752 0.986
```

Calculated values
- final energy (eV/f.u.) = -24.5
- space-group type = C2/m
- ΔE_f (raw) (meV per atom) = -651
- density of states at the Fermi level (states/eV/f.u.) = 2.58

8.
VASP calculation (PBE) on HoZnSi after structural relaxation.

```
3
Lattice="3.249 0.000 0.000 0.000 3.249 0.000 -1.625 -1.625 7.084" Properties=species:S:1:pos:R:3 pbc="T T T"
Zn 1.625 1.625 6.212
Si 1.625 1.625 3.774
Ho 0.000 0.000 2.056
```

Calculated values
- final energy (eV/f.u.) = -10.7
- space-group type = I4mm
- ΔE_f (raw) (meV per atom) = 192
- density of states at the Fermi level (states/eV/f.u.) = 2.67

9.
VASP calculation (PBE) on HoZnSi2 after structural relaxation.

```
4
Lattice="3.037 0.000 0.000 0.000 5.159 -0.372 0.000 -2.049 4.750" Properties=species:S:1:pos:R:3 pbc="T T T"
Ho 0.000 -1.662 4.475
Zn 1.518 1.943 1.913
Si 1.518 -0.637 2.100
Si 1.518 0.918 4.288
```

Calculated values
- final energy (eV/f.u.) = -17.6
- energy relative to the lowest polymorph listed for this composition (meV/atom) = 149.7
- space-group type = Cmmm
- ΔE_f (raw) (meV per atom) = -229
- density of states at the Fermi level (states/eV/f.u.) = 2.30

10.
VASP calculation (PBE) on HoZn2Si after structural relaxation.

```
4
Lattice="-0.491 2.889 -2.893 -3.785 1.071 -1.219 -1.572 4.930 2.260" Properties=species:S:1:pos:R:3 pbc="T T T"
Zn -1.449 1.907 -0.780
Zn -4.399 6.983 -1.072
Si 0.000 0.000 0.000
Ho -2.924 4.445 -0.926
```

Calculated values
- final energy (eV/f.u.) = -13.5
- space-group type = R-3m
- ΔE_f (raw) (meV per atom) = -231
- density of states at the Fermi level (states/eV/f.u.) = 2.35

11.
VASP calculation (PBE) on Ho3Zn9Si2 after structural relaxation.

```
14
Lattice="4.099 0.000 1.101 1.601 7.528 2.219 0.046 -0.024 8.009" Properties=species:S:1:pos:R:3 pbc="T T T"
Ho 0.000 0.000 0.000
Ho 3.336 2.337 3.944
Ho 2.411 5.167 7.386
Zn 0.824 3.752 5.114
Zn 4.291 7.270 8.567
Zn 1.456 0.234 2.762
Zn 3.891 5.326 10.057
Zn 1.856 2.178 1.272
Zn 4.934 6.504 6.174
Zn 0.813 1.000 5.155
Zn 4.230 3.087 8.795
Zn 1.517 4.417 2.535
Si 2.549 2.175 6.874
Si 3.198 5.329 4.455
```

Calculated values
- final energy (eV/f.u.) = -40.7
- space-group type = Immm
- ΔE_f (raw) (meV per atom) = -330
- density of states at the Fermi level (states/eV/f.u.) = 5.72

12.
VASP calculation (PBE) on Ho6ZnSi2 after structural relaxation.

```
18
Lattice="-3.623 -2.432 7.160 -1.347 -5.617 -6.078 8.320 0.609 0.851" Properties=species:S:1:pos:R:3 pbc="T T T"
Ho 3.842 -4.973 0.227
Ho -0.493 -2.467 1.706
Ho 6.164 -1.212 -0.279
Ho -2.815 -6.228 2.212
Ho 0.687 -5.831 1.673
Ho 2.663 -1.609 0.260
Ho 6.148 -4.112 -2.353
Ho -2.798 -3.328 4.286
Ho 2.551 -3.437 3.312
Ho 0.799 -4.003 -1.379
Ho 3.240 -5.757 -3.209
Ho 0.109 -1.683 5.142
Zn 3.486 -2.504 -2.614
Zn 0.000 0.000 0.000
Si 5.012 -2.824 2.009
Si -1.662 -4.616 -0.076
Si 3.027 -1.175 5.164
Si 1.669 -0.648 2.847
```

Calculated values
- final energy (eV/f.u.) = -43.9
- space-group type = Immm
- ΔE_f (raw) (meV per atom) = -478
- density of states at the Fermi level (states/eV/f.u.) = 5.33

Repeat the tenth record exactly.
VASP calculation (PBE) on HoZn2Si after structural relaxation.

```
4
Lattice="-0.491 2.889 -2.893 -3.785 1.071 -1.219 -1.572 4.930 2.260" Properties=species:S:1:pos:R:3 pbc="T T T"
Zn -1.449 1.907 -0.780
Zn -4.399 6.983 -1.072
Si 0.000 0.000 0.000
Ho -2.924 4.445 -0.926
```

Calculated values
- final energy (eV/f.u.) = -13.5
- space-group type = R-3m
- ΔE_f (raw) (meV per atom) = -231
- density of states at the Fermi level (states/eV/f.u.) = 2.35